1.
Entry from Alexandria: a relaxed ThBiW crystal (PBE).

a = 3.857 Å, b = 3.857 Å, c = 11.028 Å
α = 90.00°, β = 90.00°, γ = 90.00°
Sites, in units of the cell vectors:
1 Th 0.250 0.250 0.227
2 Th 0.750 0.750 0.773
3 Bi 0.250 0.250 0.587
4 Bi 0.750 0.750 0.413
5 W 0.250 0.750 0.000
6 W 0.750 0.250 0.000

Values from the calculation:
total DFT energy (no corrections): -46.70 eV/cell
calculated volume: 164.1 Å³ per cell
formation energy from the elements: 0.30 eV per atom
symmetry: P4/nmm (129)

2.
Entry from Alexandria: a relaxed Y3Th5Bi8 crystal (PBE).

a = 9.105 Å, b = 9.105 Å, c = 9.105 Å
α = 60.12°, β = 60.12°, γ = 60.12°
Sites, in units of the cell vectors:
1 Y 0.000 0.500 0.500
2 Y 0.500 0.000 0.500
3 Y 0.500 0.500 0.000
4 Th 0.000 0.000 0.000
5 Th 0.000 0.000 0.500
6 Th 0.000 0.500 0.000
7 Th 0.500 0.000 0.000
8 Th 0.500 0.500 0.500
9 Bi 0.250 0.250 0.744
10 Bi 0.250 0.744 0.250
11 Bi 0.253 0.253 0.253
12 Bi 0.256 0.750 0.750
13 Bi 0.744 0.250 0.250
14 Bi 0.747 0.747 0.747
15 Bi 0.750 0.256 0.750
16 Bi 0.750 0.750 0.256

Values from the calculation:
total DFT energy (no corrections): -98.48 eV/cell
calculated volume: 535.2 Å³ per cell
formation energy from the elements: -0.68 eV per atom
symmetry: R-3m (166)

3.
Entry from Alexandria: a relaxed YTh2Bi3 crystal (PBE).

a = 7.909 Å, b = 7.909 Å, c = 7.909 Å
α = 146.55°, β = 131.80°, γ = 59.94°
Sites, in units of the cell vectors:
1 Y 0.000 0.000 0.000
2 Th 0.332 0.332 0.000
3 Th 0.668 0.668 0.000
4 Bi 0.161 0.661 0.500
5 Bi 0.500 0.000 0.500
6 Bi 0.839 0.339 0.500

Values from the calculation:
total DFT energy (no corrections): -36.97 eV/cell
calculated volume: 201.4 Å³ per cell
formation energy from the elements: -0.67 eV per atom
energy above the most stable polymorph in this dataset: 0.000 kcal/mol of atoms
symmetry: Immm (71)

4.
Entry from Alexandria: a relaxed YTh2Bi crystal (PBE).

a = 4.753 Å, b = 4.753 Å, c = 5.344 Å
α = 90.00°, β = 90.00°, γ = 90.00°
Sites, in units of the cell vectors:
1 Y 0.000 0.000 0.000
2 Th 0.000 0.500 0.500
3 Th 0.500 0.000 0.500
4 Bi 0.500 0.500 0.000

Values from the calculation:
total DFT energy (no corrections): -26.40 eV/cell
calculated volume: 120.7 Å³ per cell
formation energy from the elements: -0.31 eV per atom
energy above the most stable polymorph in this dataset: 0.000 kcal/mol of atoms
symmetry: P4/mmm (123)

5.
Entry from Alexandria: a relaxed Y5Th3Bi8 crystal (PBE).

a = 9.046 Å, b = 9.046 Å, c = 9.046 Å
α = 60.16°, β = 60.16°, γ = 60.16°
Sites, in units of the cell vectors:
1 Y 0.000 0.000 0.000
2 Y 0.000 0.500 0.500
3 Y 0.500 0.000 0.500
4 Y 0.500 0.500 0.000
5 Y 0.500 0.500 0.500
6 Th 0.000 0.000 0.500
7 Th 0.000 0.500 0.000
8 Th 0.500 0.000 0.000
9 Bi 0.250 0.250 0.745
10 Bi 0.250 0.745 0.250
11 Bi 0.253 0.253 0.253
12 Bi 0.255 0.750 0.750
13 Bi 0.745 0.250 0.250
14 Bi 0.747 0.747 0.747
15 Bi 0.750 0.255 0.750
16 Bi 0.750 0.750 0.255

Values from the calculation:
total DFT energy (no corrections): -98.03 eV/cell
calculated volume: 525.2 Å³ per cell
formation energy from the elements: -0.78 eV per atom
symmetry: R-3m (166)

6.
Entry from Alexandria: a relaxed Y2ThBi crystal (PBE).

a = 5.032 Å, b = 5.032 Å, c = 4.683 Å
α = 90.00°, β = 90.00°, γ = 90.00°
Sites, in units of the cell vectors:
1 Y 0.000 0.500 0.000
2 Y 0.500 0.000 0.000
3 Th 0.000 0.000 0.500
4 Bi 0.500 0.500 0.500

Values from the calculation:
total DFT energy (no corrections): -25.46 eV/cell
calculated volume: 118.6 Å³ per cell
formation energy from the elements: -0.31 eV per atom
energy above the most stable polymorph in this dataset: 1.418 kcal/mol of atoms
symmetry: P4/mmm (123)

- Which of these has the highest calculated volume?
  Y3Th5Bi8